No. 1
The following is a DFT calculation (PBE) of Pr8Dy2Cd after structural relaxation.

Output
Formation enthalpy at 0 K ... 0.038 eV per atom
Density ... 6.8 g/cm3

Lattice parameters (Å, degrees): 5.623 8.212 9.376 111.82 107.45 90.00
Positions (direct):
Pr1 0.392 0.568 0.783
Pr2 0.665 0.912 0.330
Pr3 0.825 0.781 0.649
Pr4 0.985 0.248 0.971
Pr5 0.175 0.219 0.351
Pr6 0.335 0.088 0.670
Pr7 0.608 0.432 0.217
Pr8 0.015 0.752 0.029
Dy1 0.806 0.345 0.613
Dy2 0.194 0.655 0.387
Cd1 0.500 0.000 0.000



No. 2
The following is a DFT calculation (PBE) of Ta2TlRe after structural relaxation.

Output
Formation enthalpy at 0 K ... 0.830 eV per atom
Density ... 15.1 g/cm3

Lattice parameters (Å, degrees): 7.692 7.692 6.117 51.05 51.05 90.00
Positions (direct):
Re1 0.500 0.500 0.000
Re2 0.250 0.750 0.500
Tl1 0.000 0.000 0.000
Tl2 0.750 0.250 0.500
Ta1 0.573 0.125 0.250
Ta2 0.177 0.625 0.250
Ta3 0.375 0.427 0.750
Ta4 0.875 0.823 0.750



- Among the records above, which one has the highest formation enthalpy at 0 K?
  Ta2TlRe



- Which formula does entry 1 have?
  Pr8Dy2Cd



- What is the formation enthalpy at 0 K in the first record?
  0.038 eV per atom



- What is the formula in the first record?
  Pr8Dy2Cd